Entry 1:
# NaZrGa

A geometry-optimized NaZrGa structure (PBE, Alexandria).

E_form (meV/atom): 316
Calculated total energy (eV/atom): -3.98
Excess energy over the best structure of this formula in the dataset (eV/atom): 0.480
Crystal system: cubic
D(E_F) (states/eV/atom): 0.191

Cell: 4.720 4.720 4.720 Å, 60.00 60.00 60.00°
Atoms (fractional coordinates):
Na 0.000 0.000 0.000
Zr 0.500 0.500 0.500
Ga 0.250 0.250 0.250

=====

Entry 2:
# NaZrGa

A geometry-optimized NaZrGa structure (PBE, Alexandria).

E_form (meV/atom): -111
Calculated total energy (eV/atom): -4.41
Excess energy over the best structure of this formula in the dataset (eV/atom): 0.053
Crystal system: orthorhombic
D(E_F) (states/eV/atom): 0.566

Cell: 8.078 8.078 4.319 Å, 90.00 90.00 152.42°
Atoms (fractional coordinates):
Na 0.000 0.000 0.000
Na 0.500 0.500 0.500
Zr 0.177 0.823 0.500
Zr 0.823 0.177 0.500
Ga 0.316 0.684 0.000
Ga 0.684 0.316 0.000

=====

Entry 3:
# NaZrGa

A geometry-optimized NaZrGa structure (PBE, Alexandria).

E_form (meV/atom): 1083
Calculated total energy (eV/atom): -3.21
Excess energy over the best structure of this formula in the dataset (eV/atom): 1.247
Crystal system: hexagonal
D(E_F) (states/eV/atom): 1.722

Cell: 4.682 4.682 10.744 Å, 90.00 90.00 120.00°
Atoms (fractional coordinates):
Na 0.333 0.667 0.250
Na 0.667 0.333 0.750
Zr 0.000 0.000 0.000
Zr 0.000 0.000 0.500
Ga 0.000 0.000 0.250
Ga 0.000 0.000 0.750

=====

Entry 4:
# Na3ZrGa

A geometry-optimized Na3ZrGa structure (PBE, Alexandria).

E_form (meV/atom): 885
Calculated total energy (eV/atom): -2.22
Excess energy over the best structure of this formula in the dataset (eV/atom): 0.000
Crystal system: cubic
D(E_F) (states/eV/atom): 1.726

Cell: 5.434 5.434 5.434 Å, 90.00 90.00 90.00°
Atoms (fractional coordinates):
Na 0.000 0.000 0.500
Na 0.000 0.500 0.000
Na 0.500 0.000 0.000
Zr 0.500 0.500 0.500
Ga 0.000 0.000 0.000

=====

Entry 5:
# NaZrGa

A geometry-optimized NaZrGa structure (PBE, Alexandria).

E_form (meV/atom): -164
Calculated total energy (eV/atom): -4.46
Excess energy over the best structure of this formula in the dataset (eV/atom): 0.000
Crystal system: orthorhombic
D(E_F) (states/eV/atom): 0.520

Cell: 3.214 4.073 11.435 Å, 90.00 90.00 90.00°
Atoms (fractional coordinates):
Na 0.250 0.250 0.130
Na 0.750 0.750 0.870
Zr 0.250 0.250 0.419
Zr 0.750 0.750 0.581
Ga 0.250 0.250 0.688
Ga 0.750 0.750 0.312

=====

Entry 6:
# NaZrGa

A geometry-optimized NaZrGa structure (PBE, Alexandria).

E_form (meV/atom): -115
Calculated total energy (eV/atom): -4.41
Excess energy over the best structure of this formula in the dataset (eV/atom): 0.049
Crystal system: triclinic
D(E_F) (states/eV/atom): 0.598

Cell: 3.184 4.859 8.587 Å, 73.87 88.11 90.00°
Atoms (fractional coordinates):
Na 0.000 0.000 0.000
Na 0.500 0.500 0.000
Zr 0.064 0.689 0.625
Zr 0.936 0.311 0.375
Ga 0.479 0.842 0.313
Ga 0.521 0.158 0.687